Entry 1:
First-principles (PBE) data for an optimized crystal structure of Cd4HgAu5, as listed in Alexandria.

Summary:
DOS at the Fermi energy (states/eV per cell): 2.3
DFT formation energy (kJ/mol of formula units): -110
Total DFT energy (no corrections) (eV/atom): -2.15

a b c (Å): 3.3308 3.3308 17.6917
angles (deg): 90.00 90.00 90.00
Sites, in units of the cell vectors:
Au  0.5000  0.5000  0.6980
Au  0.5000  0.5000  0.1047
Au  0.5000  0.5000  0.8953
Au  0.5000  0.5000  0.3020
Au  0.5000  0.5000  0.5000
Cd  0.0000  0.0000  0.7972
Cd  0.0000  0.0000  0.5991
Cd  0.0000  0.0000  0.2028
Cd  0.0000  0.0000  0.4009
Hg  0.0000  0.0000  0.0000

=====

Entry 2:
First-principles (PBE) data for an optimized crystal structure of Cd6HgAu3, as listed in Alexandria.

Summary:
DOS at the Fermi energy (states/eV per cell): 3.6
DFT formation energy (kJ/mol of formula units): -82
Total DFT energy (no corrections) (eV/atom): -1.65

a b c (Å): 7.0701 8.1182 8.1182
angles (deg): 96.48 90.00 90.00
Sites, in units of the cell vectors:
Cd  0.6636  0.9599  0.0401
Cd  0.6604  0.2852  0.3871
Cd  0.1636  0.0401  0.9599
Cd  0.6604  0.6129  0.7148
Cd  0.2953  0.5380  0.9388
Cd  0.1604  0.3871  0.2852
Cd  0.7953  0.4620  0.0612
Cd  0.2953  0.0612  0.4620
Cd  0.7953  0.9388  0.5380
Cd  0.6221  0.2314  0.7686
Cd  0.1221  0.7686  0.2314
Cd  0.1604  0.7148  0.6129
Au  0.8584  0.5920  0.4080
Au  0.9558  0.7360  0.9172
Au  0.4558  0.9172  0.7360
Au  0.4558  0.2640  0.0828
Au  0.9558  0.0828  0.2640
Au  0.3584  0.4080  0.5920
Hg  0.5183  0.7198  0.2802
Hg  0.0183  0.2802  0.7198

=====

Entry 3:
First-principles (PBE) data for an optimized crystal structure of CdHg2Au8, as listed in Alexandria.

Summary:
DOS at the Fermi energy (states/eV per cell): 3.3
DFT formation energy (kJ/mol of formula units): -2
Total DFT energy (no corrections) (eV/atom): -2.52

a b c (Å): 4.1361 6.7801 7.9568
angles (deg): 103.55 105.06 90.00
Sites, in units of the cell vectors:
Au  0.0451  0.7269  0.0903
Au  0.5881  0.4481  0.1762
Au  0.8659  0.8192  0.7318
Au  0.3206  0.0837  0.6411
Au  0.9549  0.2731  0.9097
Au  0.4119  0.5519  0.8238
Au  0.1341  0.1808  0.2682
Au  0.6794  0.9163  0.3589
Hg  0.2241  0.6432  0.4481
Hg  0.7759  0.3568  0.5519
Cd  0.5000  0.0000  0.0000

=====

Entry 4:
First-principles (PBE) data for an optimized crystal structure of CdHgAu5, as listed in Alexandria.

Summary:
DOS at the Fermi energy (states/eV per cell): 2.0
DFT formation energy (kJ/mol of formula units): -15
Total DFT energy (no corrections) (eV/atom): -2.54

a b c (Å): 4.0295 4.0295 8.8091
angles (deg): 90.00 90.00 90.00
Sites, in units of the cell vectors:
Hg  0.0000  0.0000  0.5000
Au  0.0000  0.0000  0.0000
Au  0.5000  0.0000  0.2563
Au  0.0000  0.5000  0.2563
Au  0.0000  0.5000  0.7437
Au  0.5000  0.0000  0.7437
Cd  0.5000  0.5000  0.0000

=====

Entry 5:
First-principles (PBE) data for an optimized crystal structure of CdHg2Au8, as listed in Alexandria.

Summary:
DOS at the Fermi energy (states/eV per cell): 4.4
DFT formation energy (kJ/mol of formula units): 96
Total DFT energy (no corrections) (eV/atom): -2.43

a b c (Å): 5.3717 7.2102 7.2102
angles (deg): 78.62 73.35 73.35
Sites, in units of the cell vectors:
Au  0.2836  0.4586  0.4586
Au  0.9949  0.8603  0.3932
Au  0.0051  0.6068  0.1397
Au  0.0051  0.1397  0.6068
Au  0.9949  0.3932  0.8603
Au  0.2050  0.7300  0.7300
Au  0.7164  0.5414  0.5414
Au  0.7950  0.2700  0.2700
Hg  0.6162  0.8353  0.8353
Hg  0.3838  0.1647  0.1647
Cd  0.0000  0.0000  0.0000

=====

Entry 6:
First-principles (PBE) data for an optimized crystal structure of Cd7Hg2Au2, as listed in Alexandria.

Summary:
DOS at the Fermi energy (states/eV per cell): 3.9
DFT formation energy (kJ/mol of formula units): -52
Total DFT energy (no corrections) (eV/atom): -1.28

a b c (Å): 4.4762 7.9425 7.9425
angles (deg): 71.71 71.85 71.85
Sites, in units of the cell vectors:
Au  0.0000  0.7843  0.2157
Au  0.0000  0.2157  0.7843
Hg  0.8671  0.6317  0.6317
Hg  0.1329  0.3683  0.3683
Cd  0.8118  0.1820  0.1820
Cd  0.6614  0.1123  0.5843
Cd  0.3386  0.4157  0.8877
Cd  0.5000  0.0000  0.0000
Cd  0.1882  0.8180  0.8180
Cd  0.6614  0.5843  0.1123
Cd  0.3386  0.8877  0.4157

=====

Entry 7:
First-principles (PBE) data for an optimized crystal structure of Cd12Hg3Au5, as listed in Alexandria.

Summary:
DOS at the Fermi energy (states/eV per cell): 24.7
DFT formation energy (kJ/mol of formula units): 157
Total DFT energy (no corrections) (eV/atom): -1.33

a b c (Å): 14.3310 14.3310 14.3310
angles (deg): 109.47 109.47 109.47
Sites, in units of the cell vectors:
Hg  0.6250  0.3750  0.7500
Hg  0.7500  0.8750  0.6250
Hg  0.3750  0.6250  0.2500
Hg  0.3750  0.7500  0.6250
Hg  0.1250  0.8750  0.7500
Hg  0.1250  0.2500  0.8750
Hg  0.2500  0.1250  0.3750
Hg  0.8750  0.1250  0.2500
Hg  0.8750  0.7500  0.1250
Hg  0.6250  0.2500  0.3750
Hg  0.7500  0.3750  0.1250
Hg  0.2500  0.6250  0.8750
Cd  0.6282  0.0560  0.2250
Cd  0.4032  0.2750  0.3310
Cd  0.4440  0.6690  0.0722
Cd  0.4032  0.1282  0.5722
Cd  0.0560  0.4278  0.8310
Cd  0.7750  0.3310  0.9032
Cd  0.8718  0.2750  0.4440
Cd  0.9278  0.8310  0.5560
Cd  0.8310  0.9032  0.2750
Cd  0.5968  0.7250  0.6690
Cd  0.0968  0.9278  0.3718
Cd  0.6282  0.5722  0.9032
Cd  0.3310  0.5560  0.4278
Cd  0.2250  0.5560  0.6282
Cd  0.9032  0.0722  0.6282
Cd  0.0722  0.1690  0.4440
Cd  0.4278  0.3718  0.5968
Cd  0.3310  0.7750  0.4032
Cd  0.5560  0.3310  0.9278
Cd  0.0722  0.9032  0.1282
Cd  0.8718  0.5968  0.9278
Cd  0.3718  0.9440  0.7750
Cd  0.9278  0.0968  0.8718
Cd  0.6690  0.4440  0.5722
Cd  0.5968  0.8718  0.4278
Cd  0.8310  0.9278  0.0560
Cd  0.1282  0.7250  0.5560
Cd  0.6690  0.2250  0.5968
Cd  0.0560  0.6282  0.7250
Cd  0.4278  0.0560  0.3310
Cd  0.3718  0.4278  0.0968
Cd  0.1282  0.4032  0.0722
Cd  0.7750  0.4440  0.3718
Cd  0.9440  0.3718  0.2750
Cd  0.9032  0.8310  0.7750
Cd  0.9440  0.5722  0.1690
Cd  0.2250  0.6690  0.0968
Cd  0.5560  0.2250  0.1282
Cd  0.5722  0.6282  0.4032
Cd  0.0968  0.1690  0.2250
Cd  0.1690  0.0968  0.7250
Cd  0.4440  0.7750  0.8718
Cd  0.2750  0.4032  0.8310
Cd  0.2750  0.8718  0.9440
Cd  0.1690  0.0722  0.9440
Cd  0.7250  0.1282  0.0560
Cd  0.5722  0.9440  0.6690
Cd  0.7250  0.5968  0.1690
Au  0.2500  0.8750  0.1250
Au  0.7500  0.1250  0.8750
Au  0.1250  0.7500  0.3750
Au  0.6250  0.8750  0.2500
Au  0.2500  0.3750  0.6250
Au  0.0000  0.5000  0.5000
Au  0.0000  0.0000  0.0000
Au  0.5000  0.0000  0.5000
Au  0.8750  0.6250  0.7500
Au  0.3750  0.2500  0.1250
Au  0.0000  0.5000  0.0000
Au  0.8750  0.2500  0.6250
Au  0.0000  0.0000  0.5000
Au  0.6250  0.7500  0.8750
Au  0.5000  0.5000  0.0000
Au  0.3750  0.1250  0.7500
Au  0.1250  0.3750  0.2500
Au  0.5000  0.5000  0.5000
Au  0.5000  0.0000  0.0000
Au  0.7500  0.6250  0.3750

=====

Entry 8:
First-principles (PBE) data for an optimized crystal structure of Cd6Hg3Au, as listed in Alexandria.

Summary:
DOS at the Fermi energy (states/eV per cell): 5.7
DFT formation energy (kJ/mol of formula units): -13
Total DFT energy (no corrections) (eV/atom): -0.98

a b c (Å): 3.6442 13.5727 10.7148
angles (deg): 117.53 90.00 90.00
Sites, in units of the cell vectors:
Cd  0.2500  0.5310  0.9037
Cd  0.7500  0.6759  0.5697
Cd  0.2500  0.8640  0.1169
Cd  0.2500  0.0845  0.6303
Cd  0.7500  0.9155  0.3697
Cd  0.2500  0.7171  0.3473
Cd  0.7500  0.2829  0.6527
Cd  0.2500  0.3241  0.4303
Cd  0.7500  0.4690  0.0963
Cd  0.2500  0.2793  0.1301
Cd  0.7500  0.7207  0.8699
Cd  0.7500  0.1360  0.8831
Hg  0.2500  0.0959  0.3647
Hg  0.7500  0.4953  0.6467
Hg  0.7500  0.0893  0.1299
Hg  0.2500  0.5047  0.3533
Hg  0.7500  0.9041  0.6353
Hg  0.2500  0.9107  0.8701
Au  0.2500  0.3079  0.8774
Au  0.7500  0.6921  0.1226

=====

Entry 9:
First-principles (PBE) data for an optimized crystal structure of Cd8HgAu2, as listed in Alexandria.

Summary:
DOS at the Fermi energy (states/eV per cell): 3.1
DFT formation energy (kJ/mol of formula units): -73
Total DFT energy (no corrections) (eV/atom): -1.36

a b c (Å): 4.5817 7.7313 8.1562
angles (deg): 118.31 106.31 90.00
Sites, in units of the cell vectors:
Au  0.1864  0.6864  0.3729
Au  0.8136  0.3136  0.6271
Cd  0.8397  0.8396  0.6795
Cd  0.1603  0.1604  0.3205
Cd  0.6567  0.8811  0.3134
Cd  0.3433  0.1189  0.6866
Cd  0.6567  0.4323  0.3134
Cd  0.0000  0.6976  0.0001
Cd  0.3433  0.5677  0.6866
Cd  0.0000  0.3024  0.9999
Hg  0.5000  0.0000  0.0000

=====

Entry 10:
First-principles (PBE) data for an optimized crystal structure of CdHgAu, as listed in Alexandria.

Summary:
DOS at the Fermi energy (states/eV per cell): 1.8
DFT formation energy (kJ/mol of formula units): -15
Total DFT energy (no corrections) (eV/atom): -1.55

a b c (Å): 5.0595 3.6165 9.3659
angles (deg): 71.34 104.32 68.44
Sites, in units of the cell vectors:
Hg  0.6564  0.2420  0.4157
Hg  0.3436  0.7580  0.5843
Au  0.6613  0.2228  0.9347
Au  0.3387  0.7772  0.0653
Cd  0.9731  0.6878  0.7926
Cd  0.0269  0.3122  0.2074

=====

Entry 11:
First-principles (PBE) data for an optimized crystal structure of Cd3Hg12Au5, as listed in Alexandria.

Summary:
DOS at the Fermi energy (states/eV per cell): 24.5
DFT formation energy (kJ/mol of formula units): 248
Total DFT energy (no corrections) (eV/atom): -1.01

a b c (Å): 14.5392 14.5392 14.5392
angles (deg): 109.47 109.47 109.47
Sites, in units of the cell vectors:
Cd  0.1250  0.8750  0.7500
Cd  0.6250  0.3750  0.7500
Cd  0.2500  0.1250  0.3750
Cd  0.8750  0.1250  0.2500
Cd  0.8750  0.7500  0.1250
Cd  0.3750  0.6250  0.2500
Cd  0.2500  0.6250  0.8750
Cd  0.3750  0.7500  0.6250
Cd  0.7500  0.8750  0.6250
Cd  0.7500  0.3750  0.1250
Cd  0.1250  0.2500  0.8750
Cd  0.6250  0.2500  0.3750
Hg  0.6702  0.2280  0.5984
Hg  0.3705  0.9423  0.7720
Hg  0.2280  0.5577  0.6295
Hg  0.8298  0.9282  0.0577
Hg  0.7720  0.4423  0.3705
Hg  0.0718  0.1702  0.4423
Hg  0.8705  0.2720  0.4423
Hg  0.3298  0.7720  0.4016
Hg  0.9423  0.3705  0.2720
Hg  0.5577  0.3298  0.9282
Hg  0.7280  0.1295  0.0577
Hg  0.2720  0.4016  0.8298
Hg  0.2720  0.8705  0.9423
Hg  0.5718  0.9423  0.6702
Hg  0.4423  0.6702  0.0718
Hg  0.5984  0.7280  0.6702
Hg  0.9282  0.8298  0.5577
Hg  0.8298  0.9016  0.2720
Hg  0.3705  0.4282  0.0984
Hg  0.9423  0.5718  0.1702
Hg  0.1295  0.7280  0.5577
Hg  0.1295  0.4016  0.0718
Hg  0.4016  0.1295  0.5718
Hg  0.5718  0.6295  0.4016
Hg  0.0577  0.6295  0.7280
Hg  0.1702  0.0718  0.9423
Hg  0.0984  0.9282  0.3705
Hg  0.9016  0.8298  0.7720
Hg  0.3298  0.5577  0.4282
Hg  0.2280  0.6702  0.0984
Hg  0.7280  0.5984  0.1702
Hg  0.4282  0.3705  0.5984
Hg  0.6295  0.5718  0.9016
Hg  0.4423  0.7720  0.8705
Hg  0.0718  0.9016  0.1295
Hg  0.4016  0.2720  0.3298
Hg  0.9282  0.0984  0.8705
Hg  0.0577  0.4282  0.8298
Hg  0.4282  0.0577  0.3298
Hg  0.6295  0.0577  0.2280
Hg  0.0984  0.1702  0.2280
Hg  0.7720  0.3298  0.9016
Hg  0.8705  0.5984  0.9282
Hg  0.6702  0.4423  0.5718
Hg  0.5577  0.2280  0.1295
Hg  0.1702  0.0984  0.7280
Hg  0.5984  0.8705  0.4282
Hg  0.9016  0.0718  0.6295
Au  0.0000  0.5000  0.5000
Au  0.1250  0.3750  0.2500
Au  0.0000  0.0000  0.5000
Au  0.5000  0.0000  0.0000
Au  0.2500  0.3750  0.6250
Au  0.7500  0.6250  0.3750
Au  0.1250  0.7500  0.3750
Au  0.2500  0.8750  0.1250
Au  0.6250  0.7500  0.8750
Au  0.5000  0.0000  0.5000
Au  0.5000  0.5000  0.5000
Au  0.0000  0.0000  0.0000
Au  0.7500  0.1250  0.8750
Au  0.5000  0.5000  0.0000
Au  0.8750  0.2500  0.6250
Au  0.0000  0.5000  0.0000
Au  0.8750  0.6250  0.7500
Au  0.6250  0.8750  0.2500
Au  0.3750  0.2500  0.1250
Au  0.3750  0.1250  0.7500

=====

Entry 12:
First-principles (PBE) data for an optimized crystal structure of CdHgAu, as listed in Alexandria.

Summary:
DOS at the Fermi energy (states/eV per cell): 1.9
DFT formation energy (kJ/mol of formula units): -17
Total DFT energy (no corrections) (eV/atom): -1.56

a b c (Å): 4.6997 4.6997 4.6997
angles (deg): 60.00 60.00 60.00
Sites, in units of the cell vectors:
Hg  0.5000  0.5000  0.5000
Au  0.7500  0.7500  0.7500
Cd  0.0000  0.0000  0.0000

=====

| no. | calculated density (g cm⁻³) |
| --- | --- |
| 1 | 13.83 |
| 2 | 10.52 |
| 3 | 16.60 |
| 4 | 15.07 |
| 5 | 13.64 |
| 6 | 10.61 |
| 7 | 8.61 |
| 8 | 10.41 |
| 9 | 10.29 |
| 10 | 12.32 |
| 11 | 10.47 |
| 12 | 11.54 |